4
Lattice="3.425 -1.977 0.000 3.425 1.977 0.000 -2.140 0.000 8.814" Properties=species:S:1:pos:R:3 comment="CeI2O | Alexandria via LeMat-Bulk | GGA-PBE | relaxed" e_form_raw_kj_per_mol_atoms=-191.29 total_energy_ev_per_atom=-5.48 pbc="T T T"
Ce 0.000 0.000 0.000
I 0.145 0.000 6.426
I 2.284 0.000 2.389
O 2.427 0.000 8.814